Record 1
A geometry-optimized GaGeS4 structure. Source: Alexandria, functional PBE-GGA.

As for the total energy: -4.29 eV/atom. Its formation energy (no corrections) is -0.264 eV/atom.

The structure belongs to space group Fdd2 (No. 43); the cell edges are 12.9980, 13.7915 and 20.0180 Å and the angles 90.00°, 90.00° and 90.00°. The distinct sites, in fractional coordinates, are Ga at (0.0102, 0.1337, 0.0000), Ge at (0.1086, 0.2415, 0.3728), S at (0.0000, 0.0000, 0.1891), S at (0.0000, 0.0000, 0.9297), S at (0.0248, 0.2730, 0.9403), S at (0.0874, 0.3738, 0.3084) and S at (0.1130, 0.1052, 0.3136).

Record 2
A geometry-optimized GaGeS2 structure. Source: Alexandria, functional PBE-GGA.

As for the total energy: -4.34 eV/atom. Its formation energy (no corrections) is -0.361 eV/atom.

The structure belongs to space group I4/mcm (No. 140); the cell edges are 7.4675, 7.4675 and 6.1487 Å and the angles 90.00°, 90.00° and 90.00°. The distinct sites, in fractional coordinates, are Ga at (0.0000, 0.5000, 0.2500), Ge at (0.0000, 0.0000, 0.0000) and S at (0.1647, 0.3353, 0.0000).

Record 3
A geometry-optimized GaGeS2 structure. Source: Alexandria, functional PBE-GGA.

As for the total energy: -4.10 eV/atom. Its formation energy (no corrections) is -0.126 eV/atom.

The structure belongs to space group I-42d (No. 122); the cell edges are 6.5924, 6.5924 and 8.0218 Å and the angles 90.00°, 90.00° and 90.00°. The distinct sites, in fractional coordinates, are Ga at (0.0000, 0.0000, 0.0000), Ge at (0.0000, 0.0000, 0.5000) and S at (0.2298, 0.2500, 0.1250).